[1]
## HfScTc (PBE-GGA)

Data for HfScTc after structural relaxation.

a b c (Å): 5.915 5.915 5.915
angles (deg): 147.45 147.45 46.70
Fractional coordinates of all 3 atoms:
Hf (0.000, 0.000, 0.000)
Sc (0.721, 0.721, 0.000)
Tc (0.370, 0.370, 0.000)

## Properties
- excess energy over the best structure of this formula in the dataset (eV per atom) = 0.000
- E_form (eV/atom) = -0.271
- N(E_F) (states/eV/cell) = 1.91

---

[2]
## HfScTc (PBE-GGA)

Data for HfScTc after structural relaxation.

a b c (Å): 7.117 7.117 7.117
angles (deg): 49.90 49.90 49.90
Fractional coordinates of all 9 atoms:
Hf (0.002, 0.360, 0.638)
Hf (0.360, 0.638, 0.002)
Hf (0.638, 0.002, 0.360)
Sc (0.093, 0.899, 0.490)
Sc (0.490, 0.093, 0.899)
Sc (0.899, 0.490, 0.093)
Tc (0.428, 0.428, 0.428)
Tc (0.572, 0.572, 0.572)
Tc (0.924, 0.924, 0.924)

## Properties
- excess energy over the best structure of this formula in the dataset (eV per atom) = 0.386
- E_form (eV/atom) = 0.115
- N(E_F) (states/eV/cell) = 6.83